# 1
# SrAc6Ni3 (GGA-PBE, optimized geometry)
data_SrAc6Ni3
_symmetry_space_group_name_H-M 'P 1'
_symmetry_Int_Tables_number 1
_cell_length_a 13.3399
_cell_length_b 4.2198
_cell_length_c 13.4315
_cell_angle_alpha 90.00
_cell_angle_beta 102.20
_cell_angle_gamma 90.00
loop_
_symmetry_equiv_pos_as_xyz
'x,y,z'
loop_
_atom_site_label
_atom_site_fract_x
_atom_site_fract_y
_atom_site_fract_z
_atom_site_occupancy
Sr1 0.0326 0.2500 0.1393 1
Sr2 0.9674 0.7500 0.8607 1
Ac1 0.0679 0.7500 0.4048 1
Ac2 0.1969 0.7500 0.6957 1
Ac3 0.2434 0.2500 0.9652 1
Ac4 0.3253 0.7500 0.2565 1
Ac5 0.3865 0.2500 0.5467 1
Ac6 0.4737 0.7500 0.8605 1
Ac7 0.5263 0.2500 0.1395 1
Ac8 0.6135 0.7500 0.4533 1
Ac9 0.6747 0.2500 0.7435 1
Ac10 0.7566 0.7500 0.0348 1
Ac11 0.8031 0.2500 0.3043 1
Ac12 0.9321 0.2500 0.5952 1
Ni1 0.1482 0.2500 0.5474 1
Ni2 0.3806 0.7500 0.0511 1
Ni3 0.4719 0.2500 0.3492 1
Ni4 0.5281 0.7500 0.6508 1
Ni5 0.6194 0.2500 0.9489 1
Ni6 0.8518 0.7500 0.4526 1
# energy relative to the elements: -0.109 eV per atom
# calculated density: 7.31 g/cm3

---

# 2
# NdTm5Sc4 (GGA-PBE, optimized geometry)
data_NdTm5Sc4
_symmetry_space_group_name_H-M 'P 1'
_symmetry_Int_Tables_number 1
_cell_length_a 10.0189
_cell_length_b 11.0922
_cell_length_c 5.3554
_cell_angle_alpha 90.00
_cell_angle_beta 90.00
_cell_angle_gamma 90.00
loop_
_symmetry_equiv_pos_as_xyz
'x,y,z'
loop_
_atom_site_label
_atom_site_fract_x
_atom_site_fract_y
_atom_site_fract_z
_atom_site_occupancy
Nd1 0.2500 0.2500 0.2489 1
Nd2 0.7500 0.7500 0.7511 1
Tm1 0.0508 0.0483 0.2499 1
Tm2 0.0508 0.4517 0.2499 1
Tm3 0.2500 0.7500 0.7511 1
Tm4 0.4492 0.0483 0.2499 1
Tm5 0.4492 0.4517 0.2499 1
Tm6 0.5508 0.5483 0.7501 1
Tm7 0.5508 0.9517 0.7501 1
Tm8 0.7500 0.2500 0.2489 1
Tm9 0.9492 0.5483 0.7501 1
Tm10 0.9492 0.9517 0.7501 1
Sc1 0.9997 0.2500 0.7495 1
Sc2 0.0003 0.7500 0.2505 1
Sc3 0.2500 0.0557 0.7496 1
Sc4 0.2500 0.4443 0.7496 1
Sc5 0.5003 0.2500 0.7495 1
Sc6 0.4997 0.7500 0.2505 1
Sc7 0.7500 0.5557 0.2504 1
Sc8 0.7500 0.9443 0.2504 1
# energy relative to the elements: 0.296 eV per atom
# polymorph energy (0 for the lowest one): 0.0 meV per atom
# calculated density: 6.52 g/cm3

---

# 3
# GdYAgOs (GGA-PBE, optimized geometry)
data_GdYAgOs
_symmetry_space_group_name_H-M 'P 1'
_symmetry_Int_Tables_number 1
_cell_length_a 4.9789
_cell_length_b 4.9789
_cell_length_c 4.9789
_cell_angle_alpha 60.00
_cell_angle_beta 60.00
_cell_angle_gamma 60.00
loop_
_symmetry_equiv_pos_as_xyz
'x,y,z'
loop_
_atom_site_label
_atom_site_fract_x
_atom_site_fract_y
_atom_site_fract_z
_atom_site_occupancy
Gd1 0.0000 0.0000 0.0000 1
Y1 0.5000 0.5000 0.5000 1
Ag1 0.2500 0.2500 0.2500 1
Os1 0.7500 0.7500 0.7500 1
# energy relative to the elements: -0.232 eV per atom
# calculated density: 10.36 g/cm3

---

# 4
# NaVB3 (GGA-PBE, optimized geometry)
data_NaVB3
_symmetry_space_group_name_H-M 'P 1'
_symmetry_Int_Tables_number 1
_cell_length_a 4.0553
_cell_length_b 4.0553
_cell_length_c 4.0553
_cell_angle_alpha 90.00
_cell_angle_beta 90.00
_cell_angle_gamma 90.00
loop_
_symmetry_equiv_pos_as_xyz
'x,y,z'
loop_
_atom_site_label
_atom_site_fract_x
_atom_site_fract_y
_atom_site_fract_z
_atom_site_occupancy
Na1 0.0000 0.0000 0.0000 1
V1 0.5000 0.5000 0.5000 1
B1 0.0000 0.0000 0.5000 1
B2 0.0000 0.5000 0.0000 1
B3 0.5000 0.0000 0.0000 1
# energy relative to the elements: 2.755 eV per atom
# polymorph energy (0 for the lowest one): 1708.1 meV per atom
# calculated density: 2.65 g/cm3

---

# 5
# MgCo2Cl (GGA-PBE, optimized geometry)
data_MgCo2Cl
_symmetry_space_group_name_H-M 'P 1'
_symmetry_Int_Tables_number 1
_cell_length_a 3.4371
_cell_length_b 3.4371
_cell_length_c 5.4757
_cell_angle_alpha 90.00
_cell_angle_beta 90.00
_cell_angle_gamma 90.00
loop_
_symmetry_equiv_pos_as_xyz
'x,y,z'
loop_
_atom_site_label
_atom_site_fract_x
_atom_site_fract_y
_atom_site_fract_z
_atom_site_occupancy
Mg1 0.0000 0.0000 0.0000 1
Co1 0.0000 0.5000 0.5000 1
Co2 0.5000 0.0000 0.5000 1
Cl1 0.5000 0.5000 0.0000 1
# polymorph energy (0 for the lowest one): 342.4 meV per atom
# calculated density: 4.56 g/cm3

---

# 6
# TaHgP2 (GGA-PBE, optimized geometry)
data_TaHgP2
_symmetry_space_group_name_H-M 'P 1'
_symmetry_Int_Tables_number 1
_cell_length_a 6.9326
_cell_length_b 6.9326
_cell_length_c 3.5781
_cell_angle_alpha 90.11
_cell_angle_beta 90.11
_cell_angle_gamma 27.45
loop_
_symmetry_equiv_pos_as_xyz
'x,y,z'
loop_
_atom_site_label
_atom_site_fract_x
_atom_site_fract_y
_atom_site_fract_z
_atom_site_occupancy
Ta1 0.0000 0.0000 0.0000 1
Hg1 0.7582 0.7582 0.4919 1
P1 0.3614 0.3614 0.9943 1
P2 0.5659 0.5659 0.5009 1
# energy relative to the elements: -0.039 eV per atom
# calculated density: 9.29 g/cm3

---

# 7
# GaC3O (GGA-PBE, optimized geometry)
data_GaC3O
_symmetry_space_group_name_H-M 'P 1'
_symmetry_Int_Tables_number 1
_cell_length_a 3.6705
_cell_length_b 3.6705
_cell_length_c 3.6705
_cell_angle_alpha 90.00
_cell_angle_beta 90.00
_cell_angle_gamma 90.00
loop_
_symmetry_equiv_pos_as_xyz
'x,y,z'
loop_
_atom_site_label
_atom_site_fract_x
_atom_site_fract_y
_atom_site_fract_z
_atom_site_occupancy
Ga1 0.0000 0.0000 0.0000 1
C1 0.0000 0.5000 0.5000 1
C2 0.5000 0.0000 0.5000 1
C3 0.5000 0.5000 0.0000 1
O1 0.5000 0.5000 0.5000 1
# polymorph energy (0 for the lowest one): 0.0 meV per atom
# calculated density: 4.09 g/cm3

---

# 8
# KTaSe2 (GGA-PBE, optimized geometry)
data_KTaSe2
_symmetry_space_group_name_H-M 'P 1'
_symmetry_Int_Tables_number 1
_cell_length_a 4.9190
_cell_length_b 4.9190
_cell_length_c 4.9190
_cell_angle_alpha 60.00
_cell_angle_beta 60.00
_cell_angle_gamma 60.00
loop_
_symmetry_equiv_pos_as_xyz
'x,y,z'
loop_
_atom_site_label
_atom_site_fract_x
_atom_site_fract_y
_atom_site_fract_z
_atom_site_occupancy
K1 0.0000 0.0000 0.0000 1
Ta1 0.5000 0.5000 0.5000 1
Se1 0.2500 0.2500 0.2500 1
Se2 0.7500 0.7500 0.7500 1
# electronic total energy: -20.43 eV for the cell shown
# calculated density: 7.46 g/cm3

---

# 9
# Tb12Pr5Y2 (GGA-PBE, optimized geometry)
data_Tb12Pr5Y2
_symmetry_space_group_name_H-M 'P 1'
_symmetry_Int_Tables_number 1
_cell_length_a 9.9108
_cell_length_b 9.9108
_cell_length_c 10.5230
_cell_angle_alpha 109.61
_cell_angle_beta 109.61
_cell_angle_gamma 41.94
loop_
_symmetry_equiv_pos_as_xyz
'x,y,z'
loop_
_atom_site_label
_atom_site_fract_x
_atom_site_fract_y
_atom_site_fract_z
_atom_site_occupancy
Tb1 0.0018 0.0018 0.1755 1
Tb2 0.0834 0.5891 0.9790 1
Tb3 0.0942 0.5893 0.6313 1
Tb4 0.4107 0.9058 0.3687 1
Tb5 0.4109 0.9166 0.0210 1
Tb6 0.4746 0.4746 0.2524 1
Tb7 0.5254 0.5254 0.7476 1
Tb8 0.5891 0.0834 0.9790 1
Tb9 0.5893 0.0942 0.6313 1
Tb10 0.9058 0.4107 0.3687 1
Tb11 0.9166 0.4109 0.0210 1
Tb12 0.9982 0.9982 0.8245 1
Pr1 0.1803 0.1803 0.7120 1
Pr2 0.3128 0.3128 0.3180 1
Pr3 0.5000 0.5000 0.0000 1
Pr4 0.6872 0.6872 0.6820 1
Pr5 0.8197 0.8197 0.2880 1
Y1 0.2288 0.7712 0.5000 1
Y2 0.7712 0.2288 0.5000 1
# energy relative to the elements: 0.177 eV per atom
# calculated density: 7.18 g/cm3

---

# 10
# TlSeCl2 (GGA-PBE, optimized geometry)
data_TlSeCl2
_symmetry_space_group_name_H-M 'P 1'
_symmetry_Int_Tables_number 1
_cell_length_a 3.7590
_cell_length_b 3.7590
_cell_length_c 8.9317
_cell_angle_alpha 90.00
_cell_angle_beta 90.00
_cell_angle_gamma 90.00
loop_
_symmetry_equiv_pos_as_xyz
'x,y,z'
loop_
_atom_site_label
_atom_site_fract_x
_atom_site_fract_y
_atom_site_fract_z
_atom_site_occupancy
Tl1 0.0000 0.0000 0.0000 1
Se1 0.5000 0.5000 0.5965 1
Cl1 0.0000 0.0000 0.5707 1
Cl2 0.5000 0.5000 0.1594 1
# polymorph energy (0 for the lowest one): 165.4 meV per atom
# calculated density: 4.66 g/cm3

---

Spin magnetization readings, ordered: 0.00; 0.00; 7.23; 1.76; 3.27; 0.00; 0.00; 2.00; 0.00; 0.00 μB/cell